A plane-wave DFT calculation with PBE was carried out for a relaxed structure of TlAsRh2Br. Values from VASP.

SG = No. 123
density of states at the Fermi level = 1.247 states/eV per atom
electronic total energy = -3.21 eV/atom
calculated density = 6.82 Mg/m³
ΔE_f (raw) = 1.471 eV per atom

Quantum ESPRESSO input file:
```
&SYSTEM
  ibrav = 0, nat = 5, ntyp = 4
/
ATOMIC_SPECIES
Tl 204.38 Tl.upf
As 74.92 As.upf
Rh 102.91 Rh.upf
Br 79.90 Br.upf
CELL_PARAMETERS angstrom
-1.2963 3.5583 3.3674
0.9733 -3.4314 4.0007
4.8119 1.5791 0.1837
ATOMIC_POSITIONS angstrom
Tl 0.0000 0.0000 0.0000
As 2.2445 0.8530 3.7759
Rh -0.6481 1.7792 1.6837
Br 0.4867 -1.7157 2.0003
Rh 2.4059 0.7895 0.0919
```